Record 1
# PBE GePb3O4, optimized geometry
data_GePb3O4
_chemical_formula_sum 'Ge2 Pb6 O8'
_cell_length_a 7.3336
_cell_length_b 7.3719
_cell_length_c 5.7178
_cell_angle_alpha 90.00
_cell_angle_beta 90.00
_cell_angle_gamma 90.00
_space_group_name_H-M_alt 'P m n 21'
_space_group_IT_number 31
loop_
_space_group_symop_operation_xyz
'x,y,z'
'-x+1/2,-y,z+1/2'
'-x,y,z'
'x+1/2,-y,z+1/2'
loop_
_atom_site_label
_atom_site_fract_x
_atom_site_fract_y
_atom_site_fract_z
Ge1 0.0000 0.1291 0.0000
Pb1 0.0000 0.8789 0.4643
Pb2 0.2494 0.6164 0.9865
O1 0.0000 0.1969 0.3086
O2 0.0000 0.8860 0.0332
O3 0.1938 0.2122 0.8496
# Crystal system   orthorhombic
# Spin magnetization   0.0 μB/f.u.
# DOS at the Fermi energy   0.170 states/eV/atom
# Raw formation energy   -1.06 eV/atom


Record 2
# PBE GePbO3, optimized geometry
data_GePbO3
_chemical_formula_sum 'Ge12 Pb12 O36'
_cell_length_a 11.6946
_cell_length_b 7.3809
_cell_length_c 13.5934
_cell_angle_alpha 90.00
_cell_angle_beta 118.91
_cell_angle_gamma 90.00
_space_group_name_H-M_alt 'P 1 2/c 1'
_space_group_IT_number 13
loop_
_space_group_symop_operation_xyz
'x,y,z'
'-x,-y,-z'
'-x,y,-z+1/2'
'x,-y,z+1/2'
loop_
_atom_site_label
_atom_site_fract_x
_atom_site_fract_y
_atom_site_fract_z
Ge1 0.0415 0.1296 0.1532
Ge2 0.2534 0.1680 0.5396
Ge3 0.3566 0.4071 0.3883
Pb1 0.0745 0.3763 0.6578
Pb2 0.3000 0.3137 0.0984
Pb3 0.3759 0.0380 0.8219
O1 0.0000 0.2401 0.2500
O2 0.1023 0.3074 0.1046
O3 0.1082 0.0390 0.4585
O4 0.1478 0.0544 0.7123
O5 0.2284 0.3680 0.5962
O6 0.2424 0.4202 0.8372
O7 0.3226 0.2100 0.4491
O8 0.3646 0.0198 0.6439
O9 0.3979 0.2866 0.2964
O10 0.5000 0.5000 0.0000
# Crystal system   monoclinic
# Spin magnetization   0.0 μB/f.u.
# DOS at the Fermi energy   0.000 states/eV/atom
# Raw formation energy   -1.50 eV/atom


Record 3
# PBE GePb4O6, optimized geometry
data_GePb4O6
_chemical_formula_sum 'Ge4 Pb16 O24'
_cell_length_a 10.5743
_cell_length_b 6.8636
_cell_length_c 12.6118
_cell_angle_alpha 90.00
_cell_angle_beta 106.74
_cell_angle_gamma 90.00
_space_group_name_H-M_alt 'C 1 c 1'
_space_group_IT_number 9
loop_
_space_group_symop_operation_xyz
'x,y,z'
'x,-y,z+1/2'
'x+1/2,y+1/2,z'
'x+1/2,-y+1/2,z+1/2'
loop_
_atom_site_label
_atom_site_fract_x
_atom_site_fract_y
_atom_site_fract_z
Ge1 0.0000 0.2462 0.0000
Pb1 0.0052 0.3352 0.7407
Pb2 0.1454 0.1571 0.2591
Pb3 0.2271 0.3293 0.5697
Pb4 0.3800 0.2341 0.9098
O1 0.0376 0.1238 0.8887
O2 0.0435 0.3803 0.3383
O3 0.1396 0.3633 0.0938
O4 0.2180 0.2622 0.7476
O5 0.3603 0.1006 0.4446
O6 0.4509 0.4158 0.5952
# Crystal system   monoclinic
# Spin magnetization   0.0 μB/f.u.
# DOS at the Fermi energy   0.000 states/eV/atom
# Raw formation energy   -1.25 eV/atom


Record 4
# PBE GePbO3, optimized geometry
data_GePbO3
_chemical_formula_sum 'Ge4 Pb4 O12'
_cell_length_a 7.1427
_cell_length_b 5.1733
_cell_length_c 10.2323
_cell_angle_alpha 90.00
_cell_angle_beta 115.84
_cell_angle_gamma 90.00
_space_group_name_H-M_alt 'P 1 21/c 1'
_space_group_IT_number 14
loop_
_space_group_symop_operation_xyz
'x,y,z'
'-x,-y,-z'
'-x,y+1/2,-z+1/2'
'x,-y+1/2,z+1/2'
loop_
_atom_site_label
_atom_site_fract_x
_atom_site_fract_y
_atom_site_fract_z
Ge1 0.0882 0.2467 0.0027
Pb1 0.2881 0.7168 0.3632
O1 0.0399 0.0490 0.1321
O2 0.1487 0.5612 0.1141
O3 0.3228 0.2035 0.9848
# Crystal system   monoclinic
# Spin magnetization   0.0 μB/f.u.
# DOS at the Fermi energy   0.000 states/eV/atom
# Raw formation energy   -1.44 eV/atom


Record 5
# PBE Ge4PbO9, optimized geometry
data_Ge4PbO9
_chemical_formula_sum 'Ge12 Pb3 O27'
_cell_length_a 11.5686
_cell_length_b 11.5686
_cell_length_c 4.8316
_cell_angle_alpha 90.00
_cell_angle_beta 90.00
_cell_angle_gamma 120.00
_space_group_name_H-M_alt 'P 3 2 1'
_space_group_IT_number 150
loop_
_space_group_symop_operation_xyz
'x,y,z'
'-y,x-y,z'
'-x+y,-x,z'
'y,x,-z'
'x-y,-y,-z'
'-x,-x+y,-z'
loop_
_atom_site_label
_atom_site_fract_x
_atom_site_fract_y
_atom_site_fract_z
Ge1 0.0000 0.0000 0.0000
Ge2 0.0000 0.1803 0.5000
Ge3 0.1494 0.4906 0.3998
Ge4 0.3333 0.6667 0.8910
Pb1 0.0000 0.6757 0.0000
O1 0.0000 0.4877 0.5000
O2 0.0608 0.9066 0.7625
O3 0.1095 0.3250 0.2946
O4 0.1798 0.6011 0.1205
O5 0.2500 0.7389 0.6694
# Crystal system   trigonal
# Spin magnetization   0.0 μB/f.u.
# DOS at the Fermi energy   0.000 states/eV/atom
# Raw formation energy   -1.57 eV/atom


Record 6
# PBE Ge2PbO4, optimized geometry
data_Ge2PbO4
_chemical_formula_sum 'Ge4 Pb2 O8'
_cell_length_a 7.8320
_cell_length_b 7.8320
_cell_length_c 5.4393
_cell_angle_alpha 90.00
_cell_angle_beta 90.00
_cell_angle_gamma 90.00
_space_group_name_H-M_alt 'I 4/m'
_space_group_IT_number 87
_space_group_name_Hall '-I 4'
loop_
_atom_site_label
_atom_site_fract_x
_atom_site_fract_y
_atom_site_fract_z
Ge1 0.0000 0.5000 0.2500
Pb1 0.0000 0.0000 0.0000
O1 0.0027 0.6645 0.0000
# Crystal system   tetragonal
# Spin magnetization   0.2 μB/f.u.
# DOS at the Fermi energy   0.440 states/eV/atom
# Raw formation energy   -1.01 eV/atom